A plane-wave DFT calculation with SCAN was carried out for a PBEsol-optimized structure of Li2Au. Values from VASP.

Output
Calculated density in g/cm3: 7.81
Formation energy from the elements in eV/atom: -0.5327

Cell and atoms, written as Quantum ESPRESSO input:
```
&SYSTEM
  ibrav = 0, nat = 3, ntyp = 2
/
ATOMIC_SPECIES
Au 196.97 Au.upf
Li 6.94 Li.upf
ATOMIC_POSITIONS crystal
Au 0.5000 0.5000 0.0000
Li 0.1569 0.1569 0.3138
Li 0.8431 0.8431 0.6862
CELL_PARAMETERS angstrom
-1.2257 0.8399 2.8419
-2.9187 -0.8744 -1.0004
2.7689 -4.0158 0.5718
```